# 1
A relaxed structure of La2Tb5PmDy, computed with GGA-PBE.

Unit cell a=10.0657 b=10.0657 c=10.0657 alpha=128.85 beta=128.85 gamma=75.26
Fractional coordinates of all 18 atoms:
La: 0.1181 0.6181 0.7361
La: 0.3819 0.1181 0.5000
La: 0.6181 0.8819 0.5000
La: 0.8819 0.3819 0.2639
Tb: 0.0000 0.0000 0.0000
Tb: 0.0745 0.1426 0.5000
Tb: 0.1426 0.6426 0.0681
Tb: 0.3574 0.4255 0.5000
Tb: 0.4255 0.9255 0.0681
Tb: 0.5000 0.5000 0.0000
Tb: 0.5745 0.0745 0.9319
Tb: 0.6426 0.5745 0.5000
Tb: 0.8574 0.3574 0.9319
Tb: 0.9255 0.8574 0.5000
Pm: 0.2500 0.2500 0.0000
Pm: 0.7500 0.7500 0.0000
Dy: 0.2500 0.7500 0.5000
Dy: 0.7500 0.2500 0.5000

The calculated formation energy is 0.25 eV/atom. As for the crystal system: tetragonal. For the theoretical density, the calculation gives 7.61 g/cm3.

# 2
A relaxed structure of HoPuIrRh, computed with GGA-PBE.

Unit cell a=4.8381 b=4.8381 c=4.8381 alpha=60.00 beta=60.00 gamma=60.00
Fractional coordinates of all 4 atoms:
Ho: 0.0000 0.0000 0.0000
Pu: 0.5000 0.5000 0.5000
Ir: 0.2500 0.2500 0.2500
Rh: 0.7500 0.7500 0.7500

The calculated formation energy is -0.64 eV/atom. As for the crystal system: cubic. For the theoretical density, the calculation gives 14.60 g/cm3.

# 3
A relaxed structure of NbAlRu, computed with GGA-PBE.

Unit cell a=6.9199 b=6.9199 c=4.4936 alpha=95.26 beta=95.26 gamma=25.82
Fractional coordinates of all 6 atoms:
Nb: 0.0000 0.0000 0.0000
Nb: 0.1726 0.1726 0.4588
Al: 0.6845 0.6845 0.9654
Al: 0.8458 0.8458 0.4578
Ru: 0.3427 0.3427 0.9618
Ru: 0.5044 0.5044 0.5080

The calculated formation energy is -0.40 eV/atom. As for the crystal system: monoclinic. For the theoretical density, the calculation gives 7.86 g/cm3.

# 4
A relaxed structure of CeLuScCd, computed with GGA-PBE.

Unit cell a=5.2906 b=5.2906 c=5.2906 alpha=60.00 beta=60.00 gamma=60.00
Fractional coordinates of all 4 atoms:
Ce: 0.0000 0.0000 0.0000
Lu: 0.2500 0.2500 0.2500
Sc: 0.5000 0.5000 0.5000
Cd: 0.7500 0.7500 0.7500

The calculated formation energy is 0.01 eV/atom. As for the crystal system: cubic. For the theoretical density, the calculation gives 7.49 g/cm3.

# 5
A relaxed structure of NpSi2Pd2, computed with GGA-PBE.

Unit cell a=6.0629 b=6.0629 c=7.6136 alpha=90.00 beta=90.00 gamma=141.99
Fractional coordinates of all 10 atoms:
Np: 0.0889 0.9111 0.5000
Np: 0.9111 0.0889 0.0000
Si: 0.2474 0.7526 0.8119
Si: 0.4406 0.5594 0.6892
Si: 0.5594 0.4406 0.1892
Si: 0.7526 0.2474 0.3119
Pd: 0.1883 0.8117 0.1175
Pd: 0.3802 0.6198 0.3615
Pd: 0.6198 0.3802 0.8615
Pd: 0.8117 0.1883 0.6175

The calculation puts the uncorrected formation energy at -560.5 meV per atom. As for the crystal system: orthorhombic. For the theoretical density, the calculation gives 9.75 g/cm3.

# 6
A relaxed structure of LuMg2Sc, computed with GGA-PBE.

Unit cell a=5.1828 b=5.1828 c=5.1828 alpha=60.00 beta=60.00 gamma=60.00
Fractional coordinates of all 4 atoms:
Lu: 0.0000 0.0000 0.0000
Mg: 0.2500 0.2500 0.2500
Mg: 0.7500 0.7500 0.7500
Sc: 0.5000 0.5000 0.5000

The calculated formation energy is -0.04 eV/atom. As for the crystal system: cubic. For the theoretical density, the calculation gives 4.53 g/cm3.

# 7
A relaxed structure of PmDy2NpO8, computed with GGA-PBE.

Unit cell a=3.9030 b=7.4823 c=5.4116 alpha=90.00 beta=93.70 gamma=90.00
Fractional coordinates of all 12 atoms:
Pm: 0.0000 0.0000 0.0000
Dy: 0.5000 0.2427 0.5000
Dy: 0.5000 0.7573 0.5000
Np: 0.0000 0.5000 0.0000
O: 0.0250 0.2810 0.7605
O: 0.0250 0.7190 0.7605
O: 0.4590 0.5000 0.2246
O: 0.4936 0.0000 0.7418
O: 0.5064 0.0000 0.2582
O: 0.5410 0.5000 0.7754
O: 0.9750 0.2810 0.2395
O: 0.9750 0.7190 0.2395

The calculation puts the uncorrected formation energy at -3182.6 meV per atom. As for the crystal system: monoclinic. For the theoretical density, the calculation gives 8.79 g/cm3.

# 8
A relaxed structure of HfRh3N, computed with GGA-PBE.

Unit cell a=4.1252 b=4.1252 c=4.1252 alpha=90.00 beta=90.00 gamma=90.00
Fractional coordinates of all 5 atoms:
Hf: 0.0000 0.0000 0.0000
Rh: 0.0000 0.5000 0.5000
Rh: 0.5000 0.0000 0.5000
Rh: 0.5000 0.5000 0.0000
N: 0.5000 0.5000 0.5000

The calculation puts the uncorrected formation energy at -263.9 meV per atom. As for the crystal system: cubic. For the theoretical density, the calculation gives 11.86 g/cm3.